A.
## LiTa2Fe (PBE)

Data for crystalline LiTa2Fe at its relaxed geometry.

abc: 4.989 4.989 2.713
angles: 98.11 98.11 112.25
Sites, in units of the cell vectors:
Li 0.000 0.000 0.000
Ta 0.000 0.500 0.500
Ta 0.500 0.000 0.500
Fe 0.500 0.500 0.000

M_tot in μB/f.u.: 1.18
V in Å³ per atom: 15.11
Symmetry: No. 12
N(E_F) in states/eV per cell: 3.090

***

B.
## LiTa2Fe (PBE)

Data for crystalline LiTa2Fe at its relaxed geometry.

abc: 5.048 5.048 5.048
angles: 137.19 137.19 62.14
Sites, in units of the cell vectors:
Li 0.000 0.000 0.000
Ta 0.250 0.750 0.500
Ta 0.500 0.500 0.000
Fe 0.750 0.250 0.500

M_tot in μB/f.u.: 0.00
V in Å³ per atom: 14.67
Symmetry: No. 119
N(E_F) in states/eV per cell: 3.680

***

C.
## LiTa2Fe (PBE)

Data for crystalline LiTa2Fe at its relaxed geometry.

abc: 2.790 2.790 8.567
angles: 90.00 90.00 91.69
Sites, in units of the cell vectors:
Li 0.000 0.000 0.000
Ta 0.500 0.500 0.300
Ta 0.500 0.500 0.700
Fe 0.000 0.000 0.500

M_tot in μB/f.u.: 0.00
V in Å³ per atom: 16.66
Symmetry: No. 65
N(E_F) in states/eV per cell: 3.804

***

D.
## LiTa2Fe (PBE)

Data for crystalline LiTa2Fe at its relaxed geometry.

abc: 4.394 4.394 4.394
angles: 60.00 60.00 60.00
Sites, in units of the cell vectors:
Li 0.000 0.000 0.000
Ta 0.500 0.500 0.500
Ta 0.750 0.750 0.750
Fe 0.250 0.250 0.250

M_tot in μB/f.u.: 0.60
V in Å³ per atom: 14.99
Symmetry: No. 216
N(E_F) in states/eV per cell: 4.895

***

Result of the stability comparison: D is the least stable of them.